A) Below is an optimized crystal structure of Mn2VP, with properties calculated at the PBE-GGA level.

crystal system = cubic
magnetization = 0.0 μB/f.u.

Structure (CIF):
```
data_Mn2VP
_chemical_formula_sum 'Mn8 V4 P4'
_symmetry_space_group_name_H-M 'P 1'
_symmetry_Int_Tables_number 1
_symmetry_space_group_name_Hall 'P 1'
_cell_length_a 5.5807
_cell_length_b 5.5807
_cell_length_c 5.5807
_cell_angle_alpha 90.00
_cell_angle_beta 90.00
_cell_angle_gamma 90.00
loop_
_atom_site_label
_atom_site_type_symbol
_atom_site_fract_x
_atom_site_fract_y
_atom_site_fract_z
Mn1 Mn 0.2500 0.2500 0.2500
Mn2 Mn 0.2500 0.2500 0.7500
Mn3 Mn 0.2500 0.7500 0.2500
Mn4 Mn 0.2500 0.7500 0.7500
Mn5 Mn 0.7500 0.2500 0.2500
Mn6 Mn 0.7500 0.2500 0.7500
Mn7 Mn 0.7500 0.7500 0.2500
Mn8 Mn 0.7500 0.7500 0.7500
V1 V 0.0000 0.0000 0.0000
V2 V 0.0000 0.5000 0.5000
V3 V 0.5000 0.0000 0.5000
V4 V 0.5000 0.5000 0.0000
P1 P 0.0000 0.0000 0.5000
P2 P 0.0000 0.5000 0.0000
P3 P 0.5000 0.0000 0.0000
P4 P 0.5000 0.5000 0.5000
```

=====

B) Below is an optimized crystal structure of Mn2VP, with properties calculated at the PBE-GGA level.

crystal system = tetragonal
magnetization = 0.0 μB/f.u.

Structure (CIF):
```
data_Mn2VP
_chemical_formula_sum 'Mn2 V1 P1'
_symmetry_space_group_name_H-M 'P 1'
_symmetry_Int_Tables_number 1
_symmetry_space_group_name_Hall 'P 1'
_cell_length_a 3.8950
_cell_length_b 3.8950
_cell_length_c 2.8994
_cell_angle_alpha 90.00
_cell_angle_beta 90.00
_cell_angle_gamma 90.00
loop_
_atom_site_label
_atom_site_type_symbol
_atom_site_fract_x
_atom_site_fract_y
_atom_site_fract_z
Mn1 Mn 0.0000 0.5000 0.0000
Mn2 Mn 0.5000 0.0000 0.0000
V1 V 0.0000 0.0000 0.5000
P1 P 0.5000 0.5000 0.5000
```

=====

C) Below is an optimized crystal structure of Mn2VP, with properties calculated at the PBE-GGA level.

crystal system = tetragonal
magnetization = 4.5 μB/f.u.

Structure (CIF):
```
data_Mn2VP
_chemical_formula_sum 'Mn8 V4 P4'
_symmetry_space_group_name_H-M 'P 1'
_symmetry_Int_Tables_number 1
_symmetry_space_group_name_Hall 'P 1'
_cell_length_a 6.5945
_cell_length_b 6.5945
_cell_length_c 4.9332
_cell_angle_alpha 90.00
_cell_angle_beta 90.00
_cell_angle_gamma 90.00
loop_
_atom_site_label
_atom_site_type_symbol
_atom_site_fract_x
_atom_site_fract_y
_atom_site_fract_z
Mn1 Mn 0.2178 0.7500 0.1250
Mn2 Mn 0.2500 0.2178 0.8750
Mn3 Mn 0.2500 0.2822 0.3750
Mn4 Mn 0.2822 0.7500 0.6250
Mn5 Mn 0.7178 0.2500 0.6250
Mn6 Mn 0.7500 0.7178 0.3750
Mn7 Mn 0.7500 0.7822 0.8750
Mn8 Mn 0.7822 0.2500 0.1250
V1 V 0.0000 0.0000 0.5000
V2 V 0.0000 0.5000 0.7500
V3 V 0.5000 0.0000 0.2500
V4 V 0.5000 0.5000 0.0000
P1 P 0.0000 0.0000 0.0000
P2 P 0.0000 0.5000 0.2500
P3 P 0.5000 0.0000 0.7500
P4 P 0.5000 0.5000 0.5000
```

=====

Q: Which of them is the least stable? A: C).

=====

A) Below is an optimized crystal structure of Mn3VP, with properties calculated at the PBE-GGA level.

crystal system = cubic
magnetization = 5.5 μB/f.u.

Structure (CIF):
```
data_Mn3VP
_chemical_formula_sum 'Mn3 V1 P1'
_symmetry_space_group_name_H-M 'P 1'
_symmetry_Int_Tables_number 1
_symmetry_space_group_name_Hall 'P 1'
_cell_length_a 4.2739
_cell_length_b 4.2739
_cell_length_c 4.2739
_cell_angle_alpha 90.00
_cell_angle_beta 90.00
_cell_angle_gamma 90.00
loop_
_atom_site_label
_atom_site_type_symbol
_atom_site_fract_x
_atom_site_fract_y
_atom_site_fract_z
Mn1 Mn 0.0000 0.0000 0.5000
Mn2 Mn 0.0000 0.5000 0.0000
Mn3 Mn 0.5000 0.0000 0.0000
V1 V 0.5000 0.5000 0.5000
P1 P 0.0000 0.0000 0.0000
```

=====

B) Below is an optimized crystal structure of Mn3VP, with properties calculated at the PBE-GGA level.

crystal system = cubic
magnetization = 7.6 μB/f.u.

Structure (CIF):
```
data_Mn3VP
_chemical_formula_sum 'Mn3 V1 P1'
_symmetry_space_group_name_H-M 'P 1'
_symmetry_Int_Tables_number 1
_symmetry_space_group_name_Hall 'P 1'
_cell_length_a 4.4066
_cell_length_b 4.4066
_cell_length_c 4.4066
_cell_angle_alpha 90.00
_cell_angle_beta 90.00
_cell_angle_gamma 90.00
loop_
_atom_site_label
_atom_site_type_symbol
_atom_site_fract_x
_atom_site_fract_y
_atom_site_fract_z
Mn1 Mn 0.0000 0.0000 0.5000
Mn2 Mn 0.0000 0.5000 0.0000
Mn3 Mn 0.5000 0.0000 0.0000
V1 V 0.0000 0.0000 0.0000
P1 P 0.5000 0.5000 0.5000
```

=====

Q: Which of them is the least stable? A: B).

=====

A) Below is an optimized crystal structure of MnP4W, with properties calculated at the PBE-GGA level.

crystal system = cubic
magnetization = 2.9 μB/f.u.

Structure (CIF):
```
data_MnP4W
_chemical_formula_sum 'Mn1 P4 W1'
_symmetry_space_group_name_H-M 'P 1'
_symmetry_Int_Tables_number 1
_symmetry_space_group_name_Hall 'P 1'
_cell_length_a 4.8986
_cell_length_b 4.8986
_cell_length_c 4.8986
_cell_angle_alpha 60.00
_cell_angle_beta 60.00
_cell_angle_gamma 60.00
loop_
_atom_site_label
_atom_site_type_symbol
_atom_site_fract_x
_atom_site_fract_y
_atom_site_fract_z
Mn1 Mn 0.0000 0.0000 0.0000
P1 P 0.1261 0.6246 0.6246
P2 P 0.6246 0.1261 0.6246
P3 P 0.6246 0.6246 0.1261
P4 P 0.6246 0.6246 0.6246
W1 W 0.2500 0.2500 0.2500
```

=====

B) Below is an optimized crystal structure of MnP4W, with properties calculated at the PBE-GGA level.

crystal system = monoclinic
magnetization = 0.8 μB/f.u.

Structure (CIF):
```
data_MnP4W
_chemical_formula_sum 'Mn2 P8 W2'
_symmetry_space_group_name_H-M 'P 1'
_symmetry_Int_Tables_number 1
_symmetry_space_group_name_Hall 'P 1'
_cell_length_a 5.6338
_cell_length_b 6.3765
_cell_length_c 5.4620
_cell_angle_alpha 90.00
_cell_angle_beta 90.24
_cell_angle_gamma 90.00
loop_
_atom_site_label
_atom_site_type_symbol
_atom_site_fract_x
_atom_site_fract_y
_atom_site_fract_z
Mn1 Mn 0.0000 0.1013 0.2500
Mn2 Mn 0.0000 0.8987 0.7500
P1 P 0.1457 0.2191 0.6105
P2 P 0.1457 0.7809 0.1105
P3 P 0.3449 0.2518 0.1252
P4 P 0.3449 0.7482 0.6252
P5 P 0.6551 0.2518 0.3748
P6 P 0.6551 0.7482 0.8748
P7 P 0.8543 0.2191 0.8895
P8 P 0.8543 0.7809 0.3895
W1 W 0.5000 0.3930 0.7500
W2 W 0.5000 0.6070 0.2500
```

=====

Q: Which of them is the least stable? A: A).

=====

A) Below is an optimized crystal structure of YMn6P6, with properties calculated at the PBE-GGA level.

crystal system = hexagonal
magnetization = 7.3 μB/f.u.

Structure (CIF):
```
data_YMn6P6
_chemical_formula_sum 'Y1 Mn6 P6'
_symmetry_space_group_name_H-M 'P 1'
_symmetry_Int_Tables_number 1
_symmetry_space_group_name_Hall 'P 1'
_cell_length_a 5.0188
_cell_length_b 5.0188
_cell_length_c 7.7805
_cell_angle_alpha 90.00
_cell_angle_beta 90.00
_cell_angle_gamma 120.00
loop_
_atom_site_label
_atom_site_type_symbol
_atom_site_fract_x
_atom_site_fract_y
_atom_site_fract_z
Y1 Y 0.0000 0.0000 0.0000
Mn1 Mn 0.0000 0.0000 0.3551
Mn2 Mn 0.0000 0.0000 0.6449
Mn3 Mn 0.3333 0.6667 0.0000
Mn4 Mn 0.3333 0.6667 0.5000
Mn5 Mn 0.6667 0.3333 0.0000
Mn6 Mn 0.6667 0.3333 0.5000
P1 P 0.0000 0.5000 0.2418
P2 P 0.0000 0.5000 0.7582
P3 P 0.5000 0.0000 0.2418
P4 P 0.5000 0.0000 0.7582
P5 P 0.5000 0.5000 0.2418
P6 P 0.5000 0.5000 0.7582
```

=====

B) Below is an optimized crystal structure of YMn6P6, with properties calculated at the PBE-GGA level.

crystal system = hexagonal
magnetization = 8.7 μB/f.u.

Structure (CIF):
```
data_YMn6P6
_chemical_formula_sum 'Y1 Mn6 P6'
_symmetry_space_group_name_H-M 'P 1'
_symmetry_Int_Tables_number 1
_symmetry_space_group_name_Hall 'P 1'
_cell_length_a 5.0561
_cell_length_b 5.0561
_cell_length_c 7.4567
_cell_angle_alpha 90.00
_cell_angle_beta 90.00
_cell_angle_gamma 120.00
loop_
_atom_site_label
_atom_site_type_symbol
_atom_site_fract_x
_atom_site_fract_y
_atom_site_fract_z
Y1 Y 0.0000 0.0000 0.0000
Mn1 Mn 0.0000 0.5000 0.2599
Mn2 Mn 0.0000 0.5000 0.7401
Mn3 Mn 0.5000 0.0000 0.2599
Mn4 Mn 0.5000 0.0000 0.7401
Mn5 Mn 0.5000 0.5000 0.2599
Mn6 Mn 0.5000 0.5000 0.7401
P1 P 0.0000 0.0000 0.3462
P2 P 0.0000 0.0000 0.6538
P3 P 0.3333 0.6667 0.0000
P4 P 0.3333 0.6667 0.5000
P5 P 0.6667 0.3333 0.0000
P6 P 0.6667 0.3333 0.5000
```

=====

Q: Which of them is the least stable? A: A).